Compound: SrAgSb2
Source: Alexandria
Functional: GGA-PBE
Structure: relaxed

a = 3.4165 Å, b = 5.5576 Å, c = 5.9120 Å
α = 90.00°, β = 90.00°, γ = 90.00°
Closest atoms and distances in Å follow each position.
Sites, in units of the cell vectors:
Sr (0.0000, 0.0000, 0.0000)  8 Sb 3.37-3.46, 2 Sr 3.42, 4 Ag 3.73
Ag (0.5000, 0.5000, 0.6945)  4 Sb 2.91-3.00
Sb (0.5000, 0.0000, 0.5080)  2 Ag 2.99
Sb (0.5000, 0.5000, 0.1866)  2 Ag 2.91-3.00

Calculated values
As for the total DFT energy (no corrections): -3.5161 eV/atom. Its symmetry is Pmm2 (25). Its volume is 28.06 Å³/atom. The value obtained for the uncorrected formation energy is -0.322 eV/atom.